1.
# Re2Rh

A relaxed Re2Rh crystal (PBEsol, Alexandria).

Structure (POSCAR):
```
Re2Rh
1.0
2.730 0.000 0.000
-1.365 4.958 -0.003
0.000 -1.567 6.269
Re Rh
4 2
direct
0.361 0.721 0.974 Re
0.639 0.279 0.026 Re
0.969 0.939 0.694 Re
0.031 0.061 0.306 Re
0.692 0.384 0.638 Rh
0.308 0.616 0.362 Rh
```

Electronic total energy   -11.7144 eV/atom
DOS(E_F)   4.5 states/eV per cell
Symmetry   C2/m

***

2.
# LiHg2Se

A relaxed LiHg2Se crystal (PBEsol, Alexandria).

Structure (POSCAR):
```
LiHg2Se
1.0
3.116 0.000 0.000
0.000 5.315 0.000
0.000 -2.657 5.411
Hg Se Li
2 1 1
direct
0.000 0.000 0.500 Hg
0.000 0.500 0.500 Hg
0.500 0.500 0.000 Se
0.500 0.000 0.000 Li
```

Energy relative to the elements, uncorrected   -0.215 eV/atom
DOS(E_F)   1.6 states/eV per cell
Symmetry   Cmmm

***

3.
# HfCoN2Cl

A relaxed HfCoN2Cl crystal (PBEsol, Alexandria).

Structure (POSCAR):
```
HfCoN2Cl
1.0
3.794 0.000 0.000
0.000 3.794 0.000
0.000 0.000 4.701
Co Cl N Hf
1 1 2 1
direct
0.500 0.500 0.500 Co
0.000 0.000 0.000 Cl
0.500 0.000 0.000 N
0.000 0.500 0.000 N
0.000 0.000 0.500 Hf
```

Energy relative to the elements, uncorrected   1.961 eV/atom
DOS(E_F)   4.6 states/eV per cell
Symmetry   P4/mmm

***

4.
# MgSc2Ti2

A relaxed MgSc2Ti2 crystal (PBEsol, Alexandria).

Structure (POSCAR):
```
MgSc2Ti2
1.0
-3.232 2.428 -0.575
-2.279 -3.256 -0.936
1.168 -0.243 6.908
Mg Sc Ti
1 2 2
direct
0.000 0.000 0.000 Mg
0.750 0.250 0.500 Sc
0.250 0.750 0.500 Sc
0.420 0.420 0.840 Ti
0.580 0.580 0.160 Ti
```

Electronic total energy   -5.8184 eV/atom
DOS(E_F)   4.7 states/eV per cell
Symmetry   I4/mmm

***

Per-record total magnetization, μB per formula unit: 0.0, 0.0, 1.4, 0.0